Crystalline Y7Er5 at its relaxed geometry, computed with PBE-GGA.

Lattice parameters (Å, degrees): 5.625 5.592 14.647 101.05 90.00 120.20
Fractional coordinates of all 12 atoms:
Y  0.228  0.456  0.673
Y  0.064  0.129  0.213
Y  0.690  0.381  0.077
Y  0.310  0.619  0.923
Y  0.936  0.871  0.787
Y  0.500  0.000  0.500
Y  0.772  0.544  0.327
Er  0.146  0.292  0.441
Er  0.392  0.784  0.192
Er  0.854  0.708  0.559
Er  0.608  0.216  0.808
Er  0.000  0.000  0.000

Output
Calculated formation energy (eV/atom): 0.196
Energy above the lowest structure with this stoichiometry (eV/atom): 0.1875